(a)
LiAuNO: optimized geometry, PBE-GGA.

```
data_LiAuNO
_cell_length_a 5.058
_cell_length_b 6.509
_cell_length_c 5.311
_cell_angle_alpha 90.00
_cell_angle_beta 90.00
_cell_angle_gamma 90.00
_space_group_name_H-M_alt 'P c a 21'
_space_group_IT_number 29
_space_group_name_Hall 'P 2c -2ac'
loop_
_atom_site_label
_atom_site_fract_x
_atom_site_fract_y
_atom_site_fract_z
Li1 0.007 0.091 0.000
Au1 0.000 0.315 0.424
N1 0.138 0.378 0.076
O1 0.194 0.851 0.209
```

(b)
LiAuNO: optimized geometry, PBE-GGA.

```
data_LiAuNO
_cell_length_a 7.684
_cell_length_b 6.150
_cell_length_c 4.224
_cell_angle_alpha 90.00
_cell_angle_beta 90.00
_cell_angle_gamma 90.00
_space_group_name_H-M_alt 'P b c m'
_space_group_IT_number 57
_space_group_name_Hall '-P 2c 2b'
loop_
_atom_site_label
_atom_site_fract_x
_atom_site_fract_y
_atom_site_fract_z
Li1 0.114 0.065 0.250
Au1 0.345 0.012 0.750
N1 0.102 0.106 0.750
O1 0.381 0.031 0.250
```

Winner for stability: (a)

(a)
NaLi2Au2: optimized geometry, PBE-GGA.

```
data_NaLi2Au2
_cell_length_a 4.065
_cell_length_b 4.065
_cell_length_c 11.997
_cell_angle_alpha 90.00
_cell_angle_beta 90.00
_cell_angle_gamma 90.00
_space_group_name_H-M_alt 'I 4/m m m'
_space_group_IT_number 139
_space_group_name_Hall '-I 4 2'
loop_
_atom_site_label
_atom_site_fract_x
_atom_site_fract_y
_atom_site_fract_z
Na1 0.000 0.000 0.000
Li1 0.000 0.500 0.250
Au1 0.000 0.000 0.386
```

(b)
NaLi2Au2: optimized geometry, PBE-GGA.

```
data_NaLi2Au2
_cell_length_a 7.772
_cell_length_b 7.772
_cell_length_c 2.876
_cell_angle_alpha 90.00
_cell_angle_beta 90.00
_cell_angle_gamma 90.00
_space_group_name_H-M_alt 'P 4/m b m'
_space_group_IT_number 127
_space_group_name_Hall '-P 4 2ab'
loop_
_atom_site_label
_atom_site_fract_x
_atom_site_fract_y
_atom_site_fract_z
Na1 0.000 0.000 0.000
Li1 0.127 0.373 0.000
Au1 0.166 0.666 0.500
```

Winner for stability: (b)

(a)
LiNiWAu: optimized geometry, PBE-GGA.

Properties
- Total magnetization: 0.00 μB per atom

```
data_LiNiWAu
_cell_length_a 6.074
_cell_length_b 6.074
_cell_length_c 6.074
_cell_angle_alpha 90.00
_cell_angle_beta 90.00
_cell_angle_gamma 90.00
_space_group_name_H-M_alt 'F -4 3 m'
_space_group_IT_number 216
_space_group_name_Hall 'F -4 2 3'
loop_
_atom_site_label
_atom_site_fract_x
_atom_site_fract_y
_atom_site_fract_z
Li1 0.000 0.000 0.000
Ni1 0.250 0.250 0.250
W1 0.250 0.250 0.750
Au1 0.000 0.000 0.500
```

(b)
LiNiWAu: optimized geometry, PBE-GGA.

Properties
- Total magnetization: 0.00 μB per atom

```
data_LiNiWAu
_cell_length_a 5.979
_cell_length_b 5.979
_cell_length_c 5.979
_cell_angle_alpha 90.00
_cell_angle_beta 90.00
_cell_angle_gamma 90.00
_space_group_name_H-M_alt 'F -4 3 m'
_space_group_IT_number 216
_space_group_name_Hall 'F -4 2 3'
loop_
_atom_site_label
_atom_site_fract_x
_atom_site_fract_y
_atom_site_fract_z
Li1 0.000 0.000 0.000
Ni1 0.000 0.000 0.500
W1 0.250 0.250 0.750
Au1 0.250 0.250 0.250
```

(c)
LiNiWAu: optimized geometry, PBE-GGA.

Properties
- Total magnetization: 0.00 μB per atom

```
data_LiNiWAu
_cell_length_a 6.124
_cell_length_b 6.124
_cell_length_c 6.124
_cell_angle_alpha 90.00
_cell_angle_beta 90.00
_cell_angle_gamma 90.00
_space_group_name_H-M_alt 'F -4 3 m'
_space_group_IT_number 216
_space_group_name_Hall 'F -4 2 3'
loop_
_atom_site_label
_atom_site_fract_x
_atom_site_fract_y
_atom_site_fract_z
Li1 0.000 0.000 0.000
Ni1 0.250 0.250 0.250
W1 0.000 0.000 0.500
Au1 0.250 0.250 0.750
```

Winner for stability: (b)

(a)
Li2Au2O5: optimized geometry, PBE-GGA.

```
data_Li2Au2O5
_cell_length_a 3.844
_cell_length_b 3.844
_cell_length_c 7.858
_cell_angle_alpha 90.00
_cell_angle_beta 90.00
_cell_angle_gamma 90.00
_space_group_name_H-M_alt 'P 4/m m m'
_space_group_IT_number 123
_space_group_name_Hall '-P 4 2'
loop_
_atom_site_label
_atom_site_fract_x
_atom_site_fract_y
_atom_site_fract_z
Li1 0.000 0.000 0.000
Li2 0.000 0.000 0.500
Au1 0.500 0.500 0.230
O1 0.000 0.500 0.167
O2 0.500 0.500 0.500
```

(b)
Li2Au2O5: optimized geometry, PBE-GGA.

```
data_Li2Au2O5
_cell_length_a 3.445
_cell_length_b 3.445
_cell_length_c 7.992
_cell_angle_alpha 90.00
_cell_angle_beta 90.00
_cell_angle_gamma 90.00
_space_group_name_H-M_alt 'P 4/m m m'
_space_group_IT_number 123
_space_group_name_Hall '-P 4 2'
loop_
_atom_site_label
_atom_site_fract_x
_atom_site_fract_y
_atom_site_fract_z
Li1 0.000 0.000 0.237
Au1 0.500 0.500 0.000
Au2 0.500 0.500 0.500
O1 0.000 0.000 0.000
O2 0.000 0.500 0.345
```

Winner for stability: (a)